An optimized crystal structure of FeSbF3. Source: Alexandria via LeMat-Bulk, functional PBE with a Hubbard U.

a b c (Å): 4.558 4.558 4.558
angles (deg): 90.00 90.00 90.00
Fractional positions:
Fe 0.000 0.000 0.000
Sb 0.500 0.500 0.500
F 0.000 0.500 0.500
F 0.500 0.000 0.500
F 0.500 0.500 0.000

Space-group type ... Pm-3m, No. 221
Total DFT energy (no corrections) ... -19.67 eV for the cell shown
N(E_F) ... 6.7 states/eV/f.u.
Magnetic moment ... 4.0 Bohr magnetons per cell